(1)
A plane-wave DFT calculation with GGA-PBE was carried out for As3SeCl after structural relaxation.

Summary:
The value obtained for the relative energy among the computed polymorphs is 0 meV/atom. The calculation puts the formation energy without anion corrections at 860 meV per atom.

Cell lengths 5.0605, 5.0605, 5.0605 Å; angles 90.00, 90.00, 90.00 degrees
Fractional positions:
As1 0.0000 0.0000 0.5000
As2 0.0000 0.5000 0.0000
As3 0.5000 0.0000 0.0000
Se1 0.0000 0.0000 0.0000
Cl1 0.5000 0.5000 0.5000



(2)
A plane-wave DFT calculation with GGA-PBE was carried out for As3Se2Cl4 after structural relaxation.

Summary:
The calculation puts the formation energy without anion corrections at -366 meV per atom.

Cell lengths 6.2426, 6.2426, 15.8121 Å; angles 96.31, 96.31, 78.24 degrees
Fractional positions:
As1 0.1150 0.8850 0.7500
As2 0.1438 0.4020 0.4492
As3 0.4020 0.1438 0.9492
As4 0.5980 0.8562 0.0508
As5 0.8562 0.5980 0.5508
As6 0.8850 0.1150 0.2500
Se1 0.0125 0.0623 0.4170
Se2 0.0623 0.0125 0.9170
Se3 0.9377 0.9875 0.0830
Se4 0.9875 0.9377 0.5830
Cl1 0.1173 0.5323 0.7566
Cl2 0.3035 0.3949 0.0558
Cl3 0.3949 0.3035 0.5558
Cl4 0.4677 0.8827 0.7434
Cl5 0.5323 0.1173 0.2566
Cl6 0.6051 0.6965 0.4442
Cl7 0.6965 0.6051 0.9442
Cl8 0.8827 0.4677 0.2434



(3)
A plane-wave DFT calculation with GGA-PBE was carried out for As2Se4Cl3 after structural relaxation.

Summary:
The calculation puts the formation energy without anion corrections at -146 meV per atom.

Cell lengths 8.4260, 8.4260, 8.7167 Å; angles 97.29, 97.29, 83.88 degrees
Fractional positions:
As1 0.0692 0.3318 0.0742
As2 0.3318 0.0692 0.5742
As3 0.6682 0.9308 0.4258
As4 0.9308 0.6682 0.9258
Se1 0.1271 0.2250 0.4084
Se2 0.1852 0.5793 0.0676
Se3 0.2250 0.1271 0.9084
Se4 0.4207 0.8148 0.4324
Se5 0.5793 0.1852 0.5676
Se6 0.7750 0.8729 0.0916
Se7 0.8148 0.4207 0.9324
Se8 0.8729 0.7750 0.5916
Cl1 0.0431 0.9569 0.2500
Cl2 0.2231 0.4442 0.5622
Cl3 0.4442 0.2231 0.0622
Cl4 0.5558 0.7769 0.9378
Cl5 0.7769 0.5558 0.4378
Cl6 0.9569 0.0431 0.7500